[1]
Below is crystalline Sr2MnAl at its relaxed geometry, with properties calculated at the GGA-PBEsol level.

The structure in POSCAR format:
```
Sr2MnAl
1.0
-2.635 2.635 3.720
2.635 -2.635 3.720
2.635 2.635 -3.720
Sr Mn Al
2 1 1
Direct
0.000 0.000 0.000
0.750 0.250 0.500
0.250 0.750 0.500
0.500 0.500 0.000
```

Calculated values
Total magnetization in μB/f.u.: 4.0
DFT formation energy in eV/atom: 0.399
Mass density in g/cm³: 4.13
Fermi-level density of states in states/eV/f.u.: 2.94
Raw total energy in eV/atom: -3.98


[2]
Below is crystalline SrMn2Al at its relaxed geometry, with properties calculated at the GGA-PBEsol level.

The structure in POSCAR format:
```
SrMn2Al
1.0
0.000 3.438 3.438
3.438 0.000 3.438
3.438 3.438 0.000
Sr Mn Al
1 2 1
Direct
0.000 0.000 0.000
0.500 0.500 0.500
0.750 0.750 0.750
0.250 0.250 0.250
```

Calculated values
Total magnetization in μB/f.u.: 7.8
DFT formation energy in eV/atom: 0.688
Mass density in g/cm³: 4.59
Fermi-level density of states in states/eV/f.u.: 4.48
Raw total energy in eV/atom: -5.68


[3]
Below is crystalline TaMnAl at its relaxed geometry, with properties calculated at the GGA-PBEsol level.

The structure in POSCAR format:
```
TaMnAl
1.0
0.000 2.990 2.990
2.990 0.000 2.990
2.990 2.990 0.000
Ta Mn Al
1 1 1
Direct
0.000 0.000 0.000
0.750 0.750 0.750
0.250 0.250 0.250
```

Calculated values
Total magnetization in μB/f.u.: 1.5
DFT formation energy in eV/atom: 0.884
Mass density in g/cm³: 8.17
Fermi-level density of states in states/eV/f.u.: 3.84
Raw total energy in eV/atom: -7.92


[4]
Below is crystalline TaMn2Al at its relaxed geometry, with properties calculated at the GGA-PBEsol level.

The structure in POSCAR format:
```
TaMn2Al
1.0
2.640 0.000 0.000
0.000 3.984 0.000
-0.888 0.000 5.015
Ta Mn Al
1 2 1
Direct
0.000 0.000 0.000
0.189 0.500 0.725
0.811 0.500 0.275
0.500 0.000 0.500
```

Calculated values
Total magnetization in μB/f.u.: 0.8
DFT formation energy in eV/atom: 0.017
Mass density in g/cm³: 10.00
Fermi-level density of states in states/eV/f.u.: 4.07
Raw total energy in eV/atom: -9.02


[5]
Below is crystalline TaMn2Al at its relaxed geometry, with properties calculated at the GGA-PBEsol level.

The structure in POSCAR format:
```
TaMn2Al
1.0
1.350 0.780 8.523
-1.350 0.780 8.523
0.000 -1.559 8.523
Ta Mn Al
1 2 1
Direct
0.000 0.000 0.000
0.490 0.490 0.490
0.756 0.756 0.756
0.236 0.236 0.236
```

Calculated values
Total magnetization in μB/f.u.: 0.0
DFT formation energy in eV/atom: 0.183
Mass density in g/cm³: 9.80
Fermi-level density of states in states/eV/f.u.: 3.50
Raw total energy in eV/atom: -8.86


[6]
Below is crystalline TaMn4Al at its relaxed geometry, with properties calculated at the GGA-PBEsol level.

The structure in POSCAR format:
```
TaMn4Al
1.0
0.000 3.320 3.320
3.320 0.000 3.320
3.320 3.320 0.000
Ta Mn Al
1 4 1
Direct
0.000 0.000 0.000
0.376 0.376 0.376
0.376 0.376 0.872
0.376 0.872 0.376
0.872 0.376 0.376
0.750 0.750 0.750
```

Calculated values
Total magnetization in μB/f.u.: 2.3
DFT formation energy in eV/atom: -0.206
Mass density in g/cm³: 9.70
Fermi-level density of states in states/eV/f.u.: 7.09
Raw total energy in eV/atom: -9.49


[7]
Below is crystalline TaMn2Al at its relaxed geometry, with properties calculated at the GGA-PBEsol level.

The structure in POSCAR format:
```
TaMn2Al
1.0
4.136 0.000 0.000
0.000 4.136 0.000
0.000 0.000 3.058
Ta Mn Al
1 2 1
Direct
0.000 0.000 0.000
0.000 0.500 0.500
0.500 0.000 0.500
0.500 0.500 0.000
```

Calculated values
Total magnetization in μB/f.u.: 2.0
DFT formation energy in eV/atom: -0.237
Mass density in g/cm³: 10.09
Fermi-level density of states in states/eV/f.u.: 2.63
Raw total energy in eV/atom: -9.28


[8]
Below is crystalline Mn2AlTc at its relaxed geometry, with properties calculated at the GGA-PBEsol level.

The structure in POSCAR format:
```
Mn2AlTc
1.0
2.592 0.000 0.000
0.000 4.011 0.000
-1.042 0.000 4.752
Mn Al Tc
2 1 1
Direct
0.000 0.000 0.000
0.147 0.500 0.754
0.435 0.000 0.517
0.744 0.500 0.252
```

Calculated values
Total magnetization in μB/f.u.: 0.1
DFT formation energy in eV/atom: -0.050
Mass density in g/cm³: 7.89
Fermi-level density of states in states/eV/f.u.: 2.88
Raw total energy in eV/atom: -8.77


[9]
Below is crystalline MnAlTc at its relaxed geometry, with properties calculated at the GGA-PBEsol level.

The structure in POSCAR format:
```
MnAlTc
1.0
0.000 2.880 2.880
2.880 0.000 2.880
2.880 2.880 0.000
Mn Al Tc
1 1 1
Direct
0.000 0.000 0.000
0.250 0.250 0.250
0.500 0.500 0.500
```

Calculated values
Total magnetization in μB/f.u.: 3.7
Energy above the lowest structure with this stoichiometry in eV per atom: 0.939
DFT formation energy in eV/atom: 0.636
Mass density in g/cm³: 6.26
Fermi-level density of states in states/eV/f.u.: 3.44
Raw total energy in eV/atom: -7.74


[10]
Below is crystalline MnAl2Tc at its relaxed geometry, with properties calculated at the GGA-PBEsol level.

The structure in POSCAR format:
```
MnAl2Tc
1.0
4.094 0.000 0.000
0.000 4.094 0.000
0.000 0.000 3.225
Mn Al Tc
1 2 1
Direct
0.000 0.000 0.000
0.000 0.500 0.500
0.500 0.000 0.500
0.500 0.500 0.000
```

Calculated values
Total magnetization in μB/f.u.: 3.4
Energy above the lowest structure with this stoichiometry in eV per atom: 0.026
DFT formation energy in eV/atom: -0.245
Mass density in g/cm³: 6.36
Fermi-level density of states in states/eV/f.u.: 2.26
Raw total energy in eV/atom: -7.55


[11]
Below is crystalline Mn3AlTc at its relaxed geometry, with properties calculated at the GGA-PBEsol level.

The structure in POSCAR format:
```
Mn3AlTc
1.0
4.190 0.000 0.000
0.000 4.190 0.000
0.000 0.000 4.190
Mn Al Tc
3 1 1
Direct
0.000 0.000 0.500
0.000 0.500 0.000
0.500 0.000 0.000
0.000 0.000 0.000
0.500 0.500 0.500
```

Calculated values
Total magnetization in μB/f.u.: 3.8
DFT formation energy in eV/atom: 1.579
Mass density in g/cm³: 6.54
Fermi-level density of states in states/eV/f.u.: 5.72
Raw total energy in eV/atom: -7.35


[12]
Below is crystalline MnAlTc at its relaxed geometry, with properties calculated at the GGA-PBEsol level.

The structure in POSCAR format:
```
MnAlTc
1.0
-1.430 1.430 4.588
1.430 -1.430 4.588
1.430 1.430 -4.588
Mn Al Tc
1 1 1
Direct
0.000 0.000 0.000
0.337 0.337 0.000
0.654 0.654 0.000
```

Calculated values
Total magnetization in μB/f.u.: 0.0
Energy above the lowest structure with this stoichiometry in eV per atom: 0.000
DFT formation energy in eV/atom: -0.303
Mass density in g/cm³: 7.96
Fermi-level density of states in states/eV/f.u.: 2.10
Raw total energy in eV/atom: -8.68


[13]
Below is crystalline MnAl2Tc at its relaxed geometry, with properties calculated at the GGA-PBEsol level.

The structure in POSCAR format:
```
MnAl2Tc
1.0
-1.840 1.840 3.995
1.840 -1.840 3.995
1.840 1.840 -3.995
Mn Al Tc
1 2 1
Direct
0.000 0.000 0.000
0.250 0.750 0.500
0.500 0.500 0.000
0.750 0.250 0.500
```

Calculated values
Total magnetization in μB/f.u.: 2.4
Energy above the lowest structure with this stoichiometry in eV per atom: 0.124
DFT formation energy in eV/atom: -0.147
Mass density in g/cm³: 6.35
Fermi-level density of states in states/eV/f.u.: 4.07
Raw total energy in eV/atom: -7.45


[14]
Below is crystalline MnAl2Tc at its relaxed geometry, with properties calculated at the GGA-PBEsol level.

The structure in POSCAR format:
```
MnAl2Tc
1.0
2.967 0.000 0.000
0.000 2.967 0.000
0.000 0.000 5.899
Mn Al Tc
1 2 1
Direct
0.000 0.000 0.000
0.000 0.000 0.497
0.500 0.500 0.782
0.500 0.500 0.249
```

Calculated values
Total magnetization in μB/f.u.: 0.0
Energy above the lowest structure with this stoichiometry in eV per atom: 0.000
DFT formation energy in eV/atom: -0.271
Mass density in g/cm³: 6.62
Fermi-level density of states in states/eV/f.u.: 1.16
Raw total energy in eV/atom: -7.57


[15]
Below is crystalline MnAl2Tc at its relaxed geometry, with properties calculated at the GGA-PBEsol level.

The structure in POSCAR format:
```
MnAl2Tc
1.0
0.000 2.995 2.995
2.995 0.000 2.995
2.995 2.995 0.000
Mn Al Tc
1 2 1
Direct
0.000 0.000 0.000
0.250 0.250 0.250
0.750 0.750 0.750
0.500 0.500 0.500
```

Calculated values
Total magnetization in μB/f.u.: 3.1
Energy above the lowest structure with this stoichiometry in eV per atom: 0.028
DFT formation energy in eV/atom: -0.242
Mass density in g/cm³: 6.39
Fermi-level density of states in states/eV/f.u.: 2.45
Raw total energy in eV/atom: -7.55


[16]
Below is crystalline MnAlTe2 at its relaxed geometry, with properties calculated at the GGA-PBEsol level.

The structure in POSCAR format:
```
MnAlTe2
1.0
4.963 0.000 0.000
0.000 4.963 0.000
0.000 0.000 3.491
Mn Al Te
1 1 2
Direct
0.000 0.000 0.000
0.500 0.500 0.000
0.000 0.500 0.500
0.500 0.000 0.500
```

Calculated values
Total magnetization in μB/f.u.: 4.1
Mass density in g/cm³: 6.51
ΔE_f (raw) in eV/atom: 0.2765
Fermi-level density of states in states/eV/f.u.: 2.66
Raw total energy in eV/atom: -4.95


[17]
Below is crystalline MnAl2Te at its relaxed geometry, with properties calculated at the GGA-PBEsol level.

The structure in POSCAR format:
```
MnAl2Te
1.0
4.542 0.000 0.000
0.000 4.542 0.000
0.000 0.000 3.576
Mn Al Te
1 2 1
Direct
0.000 0.000 0.000
0.000 0.500 0.500
0.500 0.000 0.500
0.500 0.500 0.000
```

Calculated values
Total magnetization in μB/f.u.: 3.5
Mass density in g/cm³: 5.32
ΔE_f (raw) in eV/atom: 0.3380
Fermi-level density of states in states/eV/f.u.: 2.44
Raw total energy in eV/atom: -5.03


[18]
Below is crystalline MnAlTe at its relaxed geometry, with properties calculated at the GGA-PBEsol level.

The structure in POSCAR format:
```
MnAlTe
1.0
3.256 0.000 0.000
-1.628 2.820 0.000
0.000 0.000 5.923
Mn Al Te
1 1 1
Direct
0.000 0.000 0.000
0.667 0.333 0.289
0.333 0.667 0.706
```

Calculated values
Total magnetization in μB/f.u.: 2.0
Energy above the lowest structure with this stoichiometry in eV per atom: 0.012
Mass density in g/cm³: 6.40
ΔE_f (raw) in eV/atom: 0.1631
Fermi-level density of states in states/eV/f.u.: 1.95
Raw total energy in eV/atom: -5.63


[19]
Below is crystalline MnAlTe at its relaxed geometry, with properties calculated at the GGA-PBEsol level.

The structure in POSCAR format:
```
MnAlTe
1.0
0.000 3.008 3.008
3.008 0.000 3.008
3.008 3.008 0.000
Mn Al Te
1 1 1
Direct
0.000 0.000 0.000
0.750 0.750 0.750
0.250 0.250 0.250
```

Calculated values
Total magnetization in μB/f.u.: 1.8
Energy above the lowest structure with this stoichiometry in eV per atom: 0.000
Mass density in g/cm³: 6.39
ΔE_f (raw) in eV/atom: 0.1513
Fermi-level density of states in states/eV/f.u.: 2.26
Raw total energy in eV/atom: -5.64


[20]
Below is crystalline MnAl2Te4 at its relaxed geometry, with properties calculated at the GGA-PBEsol level.

The structure in POSCAR format:
```
MnAl2Te4
1.0
-2.948 2.948 6.106
2.948 -2.948 6.106
2.948 2.948 -6.106
Mn Al Te
1 2 4
Direct
0.000 0.000 0.000
0.250 0.750 0.500
0.750 0.250 0.500
0.154 0.154 0.542
0.389 0.846 0.000
0.611 0.611 0.458
0.846 0.389 0.000
```

Calculated values
Total magnetization in μB/f.u.: 5.0
Mass density in g/cm³: 4.84
ΔE_f (raw) in eV/atom: -0.2461
Fermi-level density of states in states/eV/f.u.: 0.28
Raw total energy in eV/atom: -4.82